This record from Alexandria describes a relaxed Y2Be4PdPt3 crystal. The functional is PBE.

Lattice parameters (Å, degrees): 4.0114 4.0114 9.5418 90.00 90.00 90.00
Closest atoms and distances in Å follow each position.
Positions (direct):
Y: 0.5000 0.0000 0.2469  6 Pt 3.06-3.14, 8 Be 3.08-3.09, 2 Pd 3.14
Y: 0.0000 0.5000 0.7531  6 Pt 3.06-3.14, 8 Be 3.08-3.09, 2 Pd 3.14
Be: 0.5000 0.5000 0.0000  4 Pt 2.34
Be: 0.0000 0.0000 0.0000  4 Pt 2.34
Be: 0.5000 0.0000 0.6274  3 Pt 2.34-2.35, 2 Pd 2.35
Be: 0.0000 0.5000 0.3726  3 Pt 2.34-2.35, 2 Pd 2.35
Pd: 0.5000 0.5000 0.5000  4 Be 2.35
Pt: 0.0000 0.0000 0.5000  4 Be 2.35
Pt: 0.5000 0.0000 0.8729  5 Be 2.34
Pt: 0.0000 0.5000 0.1271  5 Be 2.34

calculated formation energy = -0.86 eV per atom
space group = P-4m2
DOS at the Fermi energy = 5.5 states/eV/cell
magnetization = 0.0 μB/f.u.